The following is a meta-GGA SCAN calculation of LiAl5 at its PBEsol-relaxed geometry, from the Alexandria database.

abc: 4.0242 4.0107 6.3256
angles: 90.00 108.55 90.00
Closest atoms and distances in Å follow each position.
Element x y z (fractional)
Al  0.1664  0.0000  0.3327  10 Al 2.83-2.85, 2 Li 2.83
Al  0.8336  0.0000  0.6673  10 Al 2.83-2.85, 2 Li 2.83
Al  0.0000  0.5000  0.0000  8 Al 2.82-2.83, 4 Li 2.84
Li  0.5000  0.0000  0.0000  12 Al 2.82-2.84
Al  0.3347  0.5000  0.6694  2 Li 2.82, 10 Al 2.82-2.86
Al  0.6653  0.5000  0.3306  2 Li 2.82, 10 Al 2.82-2.86

## Properties
Magnetic moment ... 0.024 μB per formula unit
V ... 16.13 Å³/atom
E_form ... -3.5 kJ per mole of atoms
Space group ... Cmmm

The following is a meta-GGA SCAN calculation of HfB2TeC at its PBEsol-relaxed geometry, from the Alexandria database.

abc: 4.2284 4.4758 4.4758
angles: 90.00 90.00 90.00
Closest atoms and distances in Å follow each position.
Element x y z (fractional)
B  0.0000  0.0000  0.5000  2 Hf 2.24
C  0.5000  0.0000  0.0000  2 Hf 2.11
B  0.0000  0.5000  0.0000  2 Hf 2.24
Te  0.5000  0.5000  0.5000  8 B 3.08, 4 C 3.16
Hf  0.0000  0.0000  0.0000  2 C 2.11, 4 B 2.24

## Properties
Magnetic moment ... 0.000 μB per formula unit
Uncorrected formation energy ... 1837 meV per atom
V ... 16.94 Å³/atom
Space group ... P4/mmm

The following is a meta-GGA SCAN calculation of LiZn2CdCo at its PBEsol-relaxed geometry, from the Alexandria database.

abc: 4.0496 4.2428 4.2428
angles: 90.00 90.00 90.00
Closest atoms and distances in Å follow each position.
Element x y z (fractional)
Co  0.5000  0.0000  0.0000  2 Li 2.02
Zn  0.0000  0.5000  0.0000  2 Li 2.12
Zn  0.0000  0.0000  0.5000  2 Li 2.12
Cd  0.5000  0.5000  0.5000  8 Zn 2.93, 4 Co 3.00
Li  0.0000  0.0000  0.0000  2 Co 2.02, 4 Zn 2.12

## Properties
Magnetic moment ... 1.344 μB per formula unit
V ... 14.58 Å³/atom
E_form ... 61.9 kJ per mole of atoms
Space group ... P4/mmm

The following is a meta-GGA SCAN calculation of YBrF3 at its PBEsol-relaxed geometry, from the Alexandria database.

abc: 4.5615 4.5615 4.5615
angles: 90.00 90.00 90.00
Closest atoms and distances in Å follow each position.
Element x y z (fractional)
F  0.0000  0.5000  0.5000  2 Br 2.28
F  0.5000  0.0000  0.5000  2 Br 2.28
Br  0.5000  0.5000  0.5000  6 F 2.28
Y  0.0000  0.0000  0.0000  12 F 3.23
F  0.5000  0.5000  0.0000  2 Br 2.28

## Properties
Magnetic moment ... 0.543 μB per formula unit
Uncorrected formation energy ... -911 meV per atom
V ... 18.98 Å³/atom
Space group ... Pm-3m

The following is a meta-GGA SCAN calculation of Ca2Eu2In3Ge4 at its PBEsol-relaxed geometry, from the Alexandria database.

abc: 4.4192 7.3665 8.7186
angles: 106.16 104.68 90.00
Closest atoms and distances in Å follow each position.
Element x y z (fractional)
Ca  0.4238  0.6321  0.8477  6 Ge 3.08-3.25, 4 In 3.37-3.45
In  0.2130  0.6290  0.4260  4 Ge 2.76-2.87
Ge  0.0539  0.6605  0.1077  1 Ge 2.53, 1 In 2.76
Ge  0.9461  0.3395  0.8923  1 Ge 2.53, 1 In 2.76
Ca  0.5762  0.3679  0.1523  6 Ge 3.08-3.25, 4 In 3.37-3.45
Eu  0.3519  0.0767  0.7039  5 Ge 3.06-3.27
Eu  0.6481  0.9233  0.2961  5 Ge 3.06-3.27
In  0.0000  0.0000  0.0000  4 Ge 2.90-3.12
In  0.7870  0.3710  0.5740  4 Ge 2.76-2.87
Ge  0.1873  0.2272  0.3747  4 In 2.79-3.12, 2 Eu 3.08
Ge  0.8127  0.7728  0.6253  4 In 2.79-3.12, 2 Eu 3.08

## Properties
Magnetic moment ... 14.288 μB per formula unit
V ... 23.90 Å³/atom
E_form ... -57.7 kJ per mole of atoms
Space group ... C2/m

The following is a meta-GGA SCAN calculation of Na3CdGa at its PBEsol-relaxed geometry, from the Alexandria database.

abc: 5.5513 5.5513 5.5513
angles: 90.00 90.00 90.00
Closest atoms and distances in Å follow each position.
Element x y z (fractional)
Na  0.0000  0.5000  0.0000  2 Ga 2.78
Ga  0.0000  0.0000  0.0000  6 Na 2.78
Na  0.5000  0.0000  0.0000  2 Ga 2.78
Na  0.0000  0.0000  0.5000  2 Ga 2.78
Cd  0.5000  0.5000  0.5000  12 Na 3.93

## Properties
Magnetic moment ... 0.004 μB per formula unit
V ... 34.21 Å³/atom
E_form ... 28.0 kJ per mole of atoms
Space group ... Pm-3m

The following is a meta-GGA SCAN calculation of BaNiI2O at its PBEsol-relaxed geometry, from the Alexandria database.

abc: 3.7536 5.7412 5.7412
angles: 90.00 90.00 90.00
Closest atoms and distances in Å follow each position.
Element x y z (fractional)
Ni  0.0000  0.0000  0.0000  2 O 1.88
I  0.0000  0.0000  0.5000  2 Ni 2.87
Ba  0.5000  0.5000  0.5000  8 I 3.43, 2 Ba 3.75
O  0.5000  0.0000  0.0000  2 Ni 1.88
I  0.0000  0.5000  0.0000  2 Ni 2.87

## Properties
Magnetic moment ... 2.054 μB per formula unit
Uncorrected formation energy ... -1011 meV per atom
V ... 24.74 Å³/atom
Space group ... P4/mmm

The following is a meta-GGA SCAN calculation of ScSbRh2 at its PBEsol-relaxed geometry, from the Alexandria database.

abc: 4.2827 4.2827 5.2584
angles: 65.97 65.97 60.00
Closest atoms and distances in Å follow each position.
Element x y z (fractional)
Sb  0.4310  0.4310  0.7071  6 Rh 2.58-2.68, 1 Sc 2.80
Sc  0.2295  0.2295  0.3115  4 Rh 2.71-2.87, 1 Sb 2.80
Rh  0.8162  0.8162  0.5514  3 Sb 2.58, 3 Sc 2.71, 1 Rh 2.88
Rh  0.0233  0.0233  0.9300  3 Sb 2.68, 1 Sc 2.87, 1 Rh 2.88

## Properties
Magnetic moment ... 0.000 μB per formula unit
Uncorrected formation energy ... -652 meV per atom
V ... 18.43 Å³/atom
Space group ... R3m

- Which value of V does entry 8 give?
  18.43 Å³/atom